1.
Computed, not measured: crystalline YHoB3 at its relaxed geometry at the PBE level of DFT.

Values from the calculation:
E, eV/atom: -6.417
Total moment, μB per formula unit: 0.00

abc: 3.782 3.782 5.740
angles: 98.99 98.99 86.22
Fractional positions:
B  0.178  0.178  0.255
B  0.997  0.997  0.999
B  0.822  0.822  0.742
Y  0.316  0.316  0.727
Ho  0.686  0.686  0.277

---

2.
Computed, not measured: crystalline YHoB5 at its relaxed geometry at the PBE level of DFT.

Values from the calculation:
E, eV/atom: -6.771
Total moment, μB per formula unit: 0.00

abc: 5.355 5.355 5.355
angles: 144.47 102.81 87.96
Fractional positions:
B  0.263  0.000  0.263
B  0.502  0.002  0.500
B  0.136  0.499  0.638
B  0.736  0.000  0.737
B  0.861  0.499  0.362
Ho  0.746  0.746  0.000
Y  0.255  0.255  0.000

---

3.
Computed, not measured: crystalline YHoB4 at its relaxed geometry at the PBE level of DFT.

Values from the calculation:
E, eV/atom: -6.870
Total moment, μB per formula unit: 0.01

abc: 3.290 3.290 7.683
angles: 90.00 90.00 120.00
Fractional positions:
B  0.333  0.667  0.748
B  0.667  0.333  0.748
B  0.667  0.333  0.252
B  0.333  0.667  0.252
Y  0.000  0.000  0.000
Ho  0.000  0.000  0.500